Record 1
# ZrTc2Se PBE relaxed
# Crystal system ... orthorhombic
data_ZrTc2Se
_cell_length_a 5.2401
_cell_length_b 8.1720
_cell_length_c 3.1895
_cell_angle_alpha 90.00
_cell_angle_beta 90.00
_cell_angle_gamma 90.00
_space_group_name_H-M_alt 'C m m m'
_space_group_IT_number 65
_space_group_name_Hall '-C 2 2'
loop_
_atom_site_label
_atom_site_fract_x
_atom_site_fract_y
_atom_site_fract_z
_atom_site_occupancy
Zr1 0.0000 0.0000 0.0000 1
Tc1 0.2500 0.2500 0.5000 1
Se1 0.0000 0.5000 0.0000 1



Record 2
# ZrTc2Se PBE relaxed
# Crystal system ... monoclinic
data_ZrTc2Se
_cell_length_a 5.3313
_cell_length_b 9.3765
_cell_length_c 3.2150
_cell_angle_alpha 90.00
_cell_angle_beta 121.52
_cell_angle_gamma 90.00
_space_group_name_H-M_alt 'C 1 2/m 1'
_space_group_IT_number 12
_space_group_name_Hall '-C 2y'
loop_
_atom_site_label
_atom_site_fract_x
_atom_site_fract_y
_atom_site_fract_z
_atom_site_occupancy
Zr1 0.0000 0.0000 0.0000 1
Tc1 0.2500 0.2500 0.5000 1
Se1 0.0000 0.5000 0.0000 1



Record-wise Fermi-level density of states values, in states/eV per cell: 7.21; 8.59
Record-wise formation energy without anion corrections values, in meV per atom: 97; 54